Entry 1:
# TbPr2Sc, optimized geometry, DFT PBE
# - DOS at the Fermi energy (states/eV per atom) = 1.45
# - offset from the most stable computed form (eV/atom) = 0.000
data_TbPr2Sc
_chemical_formula_sum 'Tb1 Pr2 Sc1'
_symmetry_space_group_name_H-M 'P 4/m m m'
_symmetry_Int_Tables_number 123
_symmetry_space_group_name_Hall '-P 4 2'
_cell_length_a 3.6418
_cell_length_b 3.6418
_cell_length_c 9.6427
_cell_angle_alpha 90.00
_cell_angle_beta 90.00
_cell_angle_gamma 90.00
loop_
_atom_site_label
_atom_site_type_symbol
_atom_site_fract_x
_atom_site_fract_y
_atom_site_fract_z
Tb1 Tb 0.0000 0.0000 0.0000
Pr1 Pr 0.5000 0.5000 0.2624
Sc1 Sc 0.0000 0.0000 0.5000

---

Entry 2:
# RbLiZnF4, optimized geometry, DFT PBE
# - ΔE_f (raw) (eV/atom) = -2.58
# - DOS at the Fermi energy (states/eV per atom) = 0.00
data_RbLiZnF4
_chemical_formula_sum 'Rb2 Li2 Zn2 F8'
_symmetry_space_group_name_H-M 'P 1 21/m 1'
_symmetry_Int_Tables_number 11
_symmetry_space_group_name_Hall '-P 2yb'
_cell_length_a 5.2476
_cell_length_b 5.7368
_cell_length_c 7.5547
_cell_angle_alpha 90.00
_cell_angle_beta 102.47
_cell_angle_gamma 90.00
loop_
_atom_site_label
_atom_site_type_symbol
_atom_site_fract_x
_atom_site_fract_y
_atom_site_fract_z
Rb1 Rb 0.2047 0.2500 0.1085
Li1 Li 0.1345 0.7500 0.5200
Zn1 Zn 0.3752 0.2500 0.6812
F1 F 0.1029 0.0136 0.6792
F2 F 0.3612 0.7500 0.1012
F3 F 0.4961 0.7500 0.5370

---

Entry 3:
# Li3La2Ni12Sn, optimized geometry, DFT PBE
# - DOS at the Fermi energy (states/eV per atom) = 1.37
# - VASP energy (eV per atom) = -4.854
data_Li3La2Ni12Sn
_chemical_formula_sum 'Li9 La6 Ni36 Sn3'
_symmetry_space_group_name_H-M 'R -3 m'
_symmetry_Int_Tables_number 166
_symmetry_space_group_name_Hall '-R 3 2"'
_cell_length_a 6.0856
_cell_length_b 6.0856
_cell_length_c 26.1636
_cell_angle_alpha 90.00
_cell_angle_beta 90.00
_cell_angle_gamma 120.00
loop_
_atom_site_label
_atom_site_type_symbol
_atom_site_fract_x
_atom_site_fract_y
_atom_site_fract_z
Li1 Li 0.0000 0.5000 0.0000
La1 La 0.0000 0.0000 0.1368
Ni1 Ni 0.0611 0.5306 0.9009
Ni2 Ni 0.0775 0.5388 0.6238
Sn1 Sn 0.0000 0.0000 0.5000

---

Entry 4:
# MgTi2Pt2, optimized geometry, DFT PBE
# - DOS at the Fermi energy (states/eV per atom) = 0.58
# - VASP energy (eV per atom) = -6.191
data_MgTi2Pt2
_chemical_formula_sum 'Mg2 Ti4 Pt4'
_symmetry_space_group_name_H-M 'I 4/m m m'
_symmetry_Int_Tables_number 139
_symmetry_space_group_name_Hall '-I 4 2'
_cell_length_a 3.9127
_cell_length_b 3.9127
_cell_length_c 12.4123
_cell_angle_alpha 90.00
_cell_angle_beta 90.00
_cell_angle_gamma 90.00
loop_
_atom_site_label
_atom_site_type_symbol
_atom_site_fract_x
_atom_site_fract_y
_atom_site_fract_z
Mg1 Mg 0.0000 0.0000 0.0000
Ti1 Ti 0.0000 0.0000 0.3873
Pt1 Pt 0.0000 0.5000 0.2500

---

Entry 5:
# Ac2LuC, optimized geometry, DFT PBE
# - DOS at the Fermi energy (states/eV per atom) = 1.30
# - VASP energy (eV per atom) = -5.185
data_Ac2LuC
_chemical_formula_sum 'Ac6 Lu3 C3'
_symmetry_space_group_name_H-M 'R -3 m'
_symmetry_Int_Tables_number 166
_symmetry_space_group_name_Hall '-R 3 2"'
_cell_length_a 3.7828
_cell_length_b 3.7828
_cell_length_c 31.1149
_cell_angle_alpha 90.00
_cell_angle_beta 90.00
_cell_angle_gamma 120.00
loop_
_atom_site_label
_atom_site_type_symbol
_atom_site_fract_x
_atom_site_fract_y
_atom_site_fract_z
Ac1 Ac 0.0000 0.0000 0.1170
Lu1 Lu 0.0000 0.0000 0.0000
C1 C 0.0000 0.0000 0.5000

---

Entry 6:
# Pm2Nd2Te3, optimized geometry, DFT PBE
# - ΔE_f (raw) (eV/atom) = -1.22
# - DOS at the Fermi energy (states/eV per atom) = 0.37
# - offset from the most stable computed form (eV/atom) = 0.000
data_Pm2Nd2Te3
_chemical_formula_sum 'Pm8 Nd8 Te12'
_symmetry_space_group_name_H-M 'I 21 3'
_symmetry_Int_Tables_number 199
_symmetry_space_group_name_Hall 'I 2b 2c 3'
_cell_length_a 9.4034
_cell_length_b 9.4034
_cell_length_c 9.4034
_cell_angle_alpha 90.00
_cell_angle_beta 90.00
_cell_angle_gamma 90.00
loop_
_atom_site_label
_atom_site_type_symbol
_atom_site_fract_x
_atom_site_fract_y
_atom_site_fract_z
Pm1 Pm 0.1788 0.3212 0.6788
Nd1 Nd 0.0723 0.0723 0.0723
Te1 Te 0.0000 0.2500 0.3766

---

Entry 7:
# KSb2Se, optimized geometry, DFT PBE
# - ΔE_f (raw) (eV/atom) = -0.12
# - DOS at the Fermi energy (states/eV per atom) = 0.66
# - offset from the most stable computed form (eV/atom) = 0.236
data_KSb2Se
_chemical_formula_sum 'K2 Sb4 Se2'
_symmetry_space_group_name_H-M 'I m m 2'
_symmetry_Int_Tables_number 44
_symmetry_space_group_name_Hall 'I 2 -2'
_cell_length_a 3.8449
_cell_length_b 6.1943
_cell_length_c 10.4066
_cell_angle_alpha 90.00
_cell_angle_beta 90.00
_cell_angle_gamma 90.00
loop_
_atom_site_label
_atom_site_type_symbol
_atom_site_fract_x
_atom_site_fract_y
_atom_site_fract_z
K1 K 0.0000 0.0000 0.0000
Sb1 Sb 0.0000 0.0000 0.5171
Sb2 Sb 0.0000 0.5000 0.7992
Se1 Se 0.0000 0.5000 0.2153

---

Entry 8:
# LiLaInNi, optimized geometry, DFT PBE
# - DOS at the Fermi energy (states/eV per atom) = 1.61
# - VASP energy (eV per atom) = -4.143
data_LiLaInNi
_chemical_formula_sum 'Li4 La4 In4 Ni4'
_symmetry_space_group_name_H-M 'F -4 3 m'
_symmetry_Int_Tables_number 216
_symmetry_space_group_name_Hall 'F -4 2 3'
_cell_length_a 6.8586
_cell_length_b 6.8586
_cell_length_c 6.8586
_cell_angle_alpha 90.00
_cell_angle_beta 90.00
_cell_angle_gamma 90.00
loop_
_atom_site_label
_atom_site_type_symbol
_atom_site_fract_x
_atom_site_fract_y
_atom_site_fract_z
Li1 Li 0.0000 0.0000 0.0000
La1 La 0.2500 0.2500 0.7500
In1 In 0.2500 0.2500 0.2500
Ni1 Ni 0.0000 0.0000 0.5000

---

Entry 9:
# Rb3Hg4Au2, optimized geometry, DFT PBE
# - DOS at the Fermi energy (states/eV per atom) = 0.36
# - offset from the most stable computed form (eV/atom) = 0.010
data_Rb3Hg4Au2
_chemical_formula_sum 'Rb6 Hg8 Au4'
_symmetry_space_group_name_H-M 'C 1 2/m 1'
_symmetry_Int_Tables_number 12
_symmetry_space_group_name_Hall '-C 2y'
_cell_length_a 12.3758
_cell_length_b 5.3081
_cell_length_c 10.0491
_cell_angle_alpha 90.00
_cell_angle_beta 111.15
_cell_angle_gamma 90.00
loop_
_atom_site_label
_atom_site_type_symbol
_atom_site_fract_x
_atom_site_fract_y
_atom_site_fract_z
Rb1 Rb 0.0000 0.0000 0.0000
Rb2 Rb 0.1336 0.5000 0.6778
Hg1 Hg 0.1087 0.0000 0.4180
Hg2 Hg 0.2237 0.5000 0.0697
Au1 Au 0.1559 0.5000 0.3172

---

For each record above, in turn, the calculated spin magnetization values are 0.000 0.000 0.000 1.524 0.001 0.000 0.000 0.000 0.000 μB per formula unit.